Record 1
A relaxed structure of Sm2Y7, computed with PBE-GGA.

Lattice parameters (Å, degrees): 3.5989 9.7481 9.7481 120.00 90.00 90.00
Closest atoms and distances in Å follow each position.
Fractional positions:
Y 0.5000 0.6414 0.0000  9 Y 3.50-3.73, 4 Sm 3.61
Y 0.0000 0.0000 0.3060  2 Sm 3.39, 10 Y 3.48-3.73
Y 0.5000 0.3586 0.3586  9 Y 3.50-3.73, 4 Sm 3.61
Sm 0.0000 0.6667 0.3333  9 Y 3.39-3.61, 2 Sm 3.60
Y 0.5000 0.0000 0.0000  11 Y 3.48-3.60
Y 0.0000 0.3060 0.0000  2 Sm 3.39, 10 Y 3.48-3.73
Y 0.0000 0.6940 0.6940  2 Sm 3.39, 10 Y 3.48-3.73
Sm 0.0000 0.3333 0.6667  9 Y 3.39-3.61, 2 Sm 3.60
Y 0.5000 0.0000 0.6414  9 Y 3.50-3.73, 4 Sm 3.61

Results
polymorph energy (0 for the lowest one) = 1.2 kJ/mol of atoms
mass density = 5.18 Mg/m³
calculated total energy = -54.4 eV/cell
calculated formation energy = 3.2 kJ per mole of atoms

Record 2
A relaxed structure of SmY3, computed with PBE-GGA.

Lattice parameters (Å, degrees): 3.6627 5.6963 6.3425 90.00 90.00 90.00
Closest atoms and distances in Å follow each position.
Fractional positions:
Y 0.0000 0.5000 0.3330  2 Sm 3.55, 10 Y 3.55-3.66
Sm 0.0000 0.0000 0.9993  10 Y 3.55-3.67, 2 Sm 3.66
Y 0.5000 0.0000 0.5007  8 Y 3.55-3.66, 4 Sm 3.65-3.67
Y 0.5000 0.5000 0.8335  8 Y 3.55-3.66, 4 Sm 3.55

Results
polymorph energy (0 for the lowest one) = 0.1 kJ/mol of atoms
mass density = 5.23 Mg/m³
calculated total energy = -24.1 eV/cell
calculated formation energy = 0.8 kJ per mole of atoms

Record 3
A relaxed structure of Sm7Y3, computed with PBE-GGA.

Lattice parameters (Å, degrees): 5.7246 11.6802 11.6802 120.00 90.00 90.00
Closest atoms and distances in Å follow each position.
Fractional positions:
Sm 0.3412 0.1140 0.8860  4 Y 3.62-3.92, 8 Sm 3.68-3.99
Y 0.3411 0.4476 0.2238  6 Sm 3.37-3.62
Sm 0.8412 0.2280 0.1140  4 Y 3.62-3.92, 8 Sm 3.68-3.99
Sm 0.8395 0.5252 0.0504  3 Sm 2.86-3.04
Sm 0.3412 0.7720 0.8860  4 Y 3.62-3.92, 8 Sm 3.68-3.99
Sm 0.8422 0.6667 0.3333  3 Sm 2.86
Sm 0.8412 0.8860 0.7720  4 Y 3.62-3.92, 8 Sm 3.68-3.99
Y 0.3411 0.7762 0.5524  6 Sm 3.37-3.62
Sm 0.3395 0.4748 0.5252  3 Sm 2.86-3.04
Sm 0.8395 0.5252 0.4748  3 Sm 2.86-3.04
Y 0.8411 0.5524 0.7762  6 Sm 3.37-3.62
Sm 0.3395 0.4748 0.9496  3 Sm 2.86-3.04
Sm 0.3395 0.0504 0.5252  3 Sm 2.86-3.04
Sm 0.8412 0.8860 0.1140  4 Y 3.62-3.92, 8 Sm 3.68-3.99
Sm 0.3422 0.3333 0.6667  3 Sm 2.86
Y 0.3411 0.7762 0.2238  6 Sm 3.37-3.62
Sm 0.3412 0.1140 0.2280  4 Y 3.62-3.92, 8 Sm 3.68-3.99
Y 0.8411 0.2238 0.7762  6 Sm 3.37-3.62
Y 0.8411 0.2238 0.4476  6 Sm 3.37-3.62
Sm 0.8395 0.9496 0.4748  3 Sm 2.86-3.04

Results
polymorph energy (0 for the lowest one) = 10.1 kJ/mol of atoms
mass density = 6.48 Mg/m³
calculated total energy = -101.7 eV/cell
calculated formation energy = 15.2 kJ per mole of atoms

Repeat the third record exactly.
A relaxed structure of Sm7Y3, computed with PBE-GGA.

Lattice parameters (Å, degrees): 5.7246 11.6802 11.6802 120.00 90.00 90.00
Closest atoms and distances in Å follow each position.
Fractional positions:
Sm 0.3412 0.1140 0.8860  4 Y 3.62-3.92, 8 Sm 3.68-3.99
Y 0.3411 0.4476 0.2238  6 Sm 3.37-3.62
Sm 0.8412 0.2280 0.1140  4 Y 3.62-3.92, 8 Sm 3.68-3.99
Sm 0.8395 0.5252 0.0504  3 Sm 2.86-3.04
Sm 0.3412 0.7720 0.8860  4 Y 3.62-3.92, 8 Sm 3.68-3.99
Sm 0.8422 0.6667 0.3333  3 Sm 2.86
Sm 0.8412 0.8860 0.7720  4 Y 3.62-3.92, 8 Sm 3.68-3.99
Y 0.3411 0.7762 0.5524  6 Sm 3.37-3.62
Sm 0.3395 0.4748 0.5252  3 Sm 2.86-3.04
Sm 0.8395 0.5252 0.4748  3 Sm 2.86-3.04
Y 0.8411 0.5524 0.7762  6 Sm 3.37-3.62
Sm 0.3395 0.4748 0.9496  3 Sm 2.86-3.04
Sm 0.3395 0.0504 0.5252  3 Sm 2.86-3.04
Sm 0.8412 0.8860 0.1140  4 Y 3.62-3.92, 8 Sm 3.68-3.99
Sm 0.3422 0.3333 0.6667  3 Sm 2.86
Y 0.3411 0.7762 0.2238  6 Sm 3.37-3.62
Sm 0.3412 0.1140 0.2280  4 Y 3.62-3.92, 8 Sm 3.68-3.99
Y 0.8411 0.2238 0.7762  6 Sm 3.37-3.62
Y 0.8411 0.2238 0.4476  6 Sm 3.37-3.62
Sm 0.8395 0.9496 0.4748  3 Sm 2.86-3.04

Results
polymorph energy (0 for the lowest one) = 10.1 kJ/mol of atoms
mass density = 6.48 Mg/m³
calculated total energy = -101.7 eV/cell
calculated formation energy = 15.2 kJ per mole of atoms

Q: The highest calculated formation energy belongs to which entry?
A: Sm7Y3

Q: What is the formula in the second record?
A: SmY3

Q: Among the records above, which one has the lowest mass density?
A: Sm2Y7